No. 1
Entry from Alexandria: Ac4TmPa3N8 after structural relaxation (PBE).

Results
raw formation energy = -1.436 eV/atom

a b c (Å): 7.2180 7.2180 18.6263
angles (deg): 90.00 90.00 120.00
With the nearest neighbours (Å) after each atom.
Space group R-3m (No. 166, hexagonal axes)
Asymmetric unit:
Ac 0.0000 0.0000 0.0000  6 N 2.79
Ac 0.0000 0.5000 0.0000  6 N 2.85-2.86
Tm 0.0000 0.0000 0.5000  6 N 2.45
Pa 0.0000 0.5000 0.5000  6 N 2.37-2.39
N 0.0000 0.0000 0.2293  3 Pa 2.39
N 0.0103 0.5051 0.7698  2 Pa 2.37, 1 Tm 2.45

No. 2
Entry from Alexandria: CaAcSb2Rh5 after structural relaxation (PBE).

Results
raw formation energy = -0.475 eV/atom

a b c (Å): 4.6205 4.6205 8.6562
angles (deg): 90.00 90.00 90.00
With the nearest neighbours (Å) after each atom.
Space group P4/mmm (No. 123)
Asymmetric unit:
Ca 0.0000 0.0000 0.0000  8 Rh 2.88
Ac 0.0000 0.0000 0.5000  8 Rh 3.48, 8 Sb 3.60
Sb 0.5000 0.5000 0.3265  5 Rh 2.56-2.83
Rh 0.0000 0.5000 0.1995  2 Sb 2.56
Rh 0.5000 0.5000 0.0000  2 Sb 2.83, 8 Rh 2.88

No. 3
Entry from Alexandria: CeP2Ru after structural relaxation (PBE).

Results
relative energy among the computed polymorphs = 168 meV/atom
formation energy from the elements = -885 meV per atom

a b c (Å): 3.9937 3.9937 9.4523
angles (deg): 90.00 90.00 90.00
With the nearest neighbours (Å) after each atom.
Space group I-4m2 (No. 119)
Asymmetric unit:
Ce 0.0000 0.0000 0.0000  8 P 3.06, 4 Ru 3.09
P 0.0000 0.0000 0.3756  2 Ru 2.32, 1 P 2.35
Ru 0.0000 0.5000 0.7500  4 P 2.32

No. 4
Entry from Alexandria: PmSm3Ho2Se6 after structural relaxation (PBE).

Results
raw formation energy = -1.791 eV/atom

a b c (Å): 7.1353 12.4224 7.1893
angles (deg): 90.00 109.39 90.00
With the nearest neighbours (Å) after each atom.
Space group C2/m (No. 12)
Asymmetric unit:
Pm 0.0000 0.0000 0.0000  6 Se 2.94-2.96
Sm 0.0000 0.1607 0.5000  6 Se 2.94-2.97
Sm 0.0000 0.5000 0.5000  6 Se 2.91-2.98
Ho 0.0000 0.3342 0.0000  6 Se 2.86-2.89
Se 0.2382 0.5000 0.2402  2 Ho 2.86, 3 Sm 2.91-2.94, 1 Pm 2.94
Se 0.2476 0.3287 0.7551  2 Ho 2.88-2.89, 3 Sm 2.95-2.98, 1 Pm 2.96

No. 5
Entry from Alexandria: Pm4CoSe2Cl after structural relaxation (PBE).

Results
raw formation energy = -1.278 eV/atom

a b c (Å): 7.2797 4.0025 7.3149
angles (deg): 90.00 108.38 90.00
With the nearest neighbours (Å) after each atom.
Space group P2/m (No. 10)
Asymmetric unit:
Pm 0.2193 0.0000 0.2221  2 Co 2.75, 1 Se 2.95, 1 Cl 2.98
Pm 0.2354 0.5000 0.7543  1 Co 2.85, 3 Se 2.90-3.07, 2 Cl 2.96
Co 0.0000 0.5000 0.0000  6 Pm 2.75-2.85
Se 0.0000 0.0000 0.5000  6 Pm 2.90-2.95
Se 0.5000 0.5000 0.5000  6 Pm 3.07-3.11
Cl 0.5000 0.0000 0.0000  6 Pm 2.96-2.98

No. 6
Entry from Alexandria: CaMgH6Pd2 after structural relaxation (PBE).

a b c (Å): 4.6492 4.6492 15.8989
angles (deg): 90.00 90.00 120.00
With the nearest neighbours (Å) after each atom.
Space group R-3m (No. 166, hexagonal axes)
Asymmetric unit:
Ca 0.0000 0.0000 0.0000  12 H 2.54
Mg 0.0000 0.0000 0.5000  6 H 2.10
H 0.0043 0.5022 0.0644  1 Pd 1.66
Pd 0.0000 0.0000 0.2093  3 H 1.66

Final energy? In order: -139.0 -55.4 -29.6 -70.5 -45.1 -36.8 eV per formula unit.